Pr5Ag4Pb: relaxed, PBE-GGA.

Geometry as extended XYZ:
```
10
Lattice="3.7249 0.0000 0.0000 0.0000 3.7249 0.0000 0.0000 0.0000 20.0575" Properties=species:S:1:pos:R:3 pbc="T T T"
Pr 0.0000 0.0000 0.0000
Pr 0.0000 0.0000 3.8891
Pr 0.0000 0.0000 7.7926
Pr 0.0000 0.0000 12.2649
Pr 0.0000 0.0000 16.1684
Ag 1.8625 1.8625 1.9605
Ag 1.8625 1.8625 5.7823
Ag 1.8625 1.8625 14.2752
Ag 1.8625 1.8625 18.0970
Pb 1.8625 1.8625 10.0287
```

Output
DOS(E_F) (states/eV per atom): 1.04
E_tot (eV/atom): -4.20

***

PrAgPb2: relaxed, PBE-GGA.

Geometry as extended XYZ:
```
12
Lattice="3.5280 0.0000 0.0000 -1.7640 3.0553 0.0000 0.0000 0.0000 33.4156" Properties=species:S:1:pos:R:3 pbc="T T T"
Pr 0.0000 0.0000 0.0000
Pr 0.0000 2.0369 22.2771
Pr 1.7640 1.0184 11.1385
Ag 0.0000 0.0000 16.7078
Ag 0.0000 2.0369 5.5693
Ag 1.7640 1.0184 27.8463
Pb 0.0000 0.0000 3.2820
Pb 0.0000 0.0000 30.1336
Pb 0.0000 2.0369 18.9950
Pb 0.0000 2.0369 25.5590
Pb 1.7640 1.0184 7.8565
Pb 1.7640 1.0184 14.4205
```

Output
DOS(E_F) (states/eV per atom): 0.90
E_tot (eV/atom): -3.64

***

Pr12Ag3Pb5: relaxed, PBE-GGA.

Geometry as extended XYZ:
```
80
Lattice="-9.2185 9.2185 9.2185 9.2185 -9.2185 9.2185 9.2185 9.2185 -9.2185" Properties=species:S:1:pos:R:3 pbc="T T T"
Pr 2.7472 -0.3223 1.4647
Pr 11.0807 6.0740 -4.9316
Pr 8.8962 -1.4647 2.7472
Pr 14.1501 -1.8621 3.1446
Pr 11.9657 0.3223 1.4647
Pr 11.0807 -3.1446 4.9316
Pr 1.4647 2.7472 -0.3223
Pr 12.3631 4.2870 -1.8621
Pr 6.0740 4.9316 -1.8621
Pr 7.7539 2.7472 0.3223
Pr -0.3223 1.4647 2.7472
Pr 4.9316 -1.8621 6.0740
Pr 8.8962 7.7539 -2.7472
Pr 4.9316 1.8621 3.1446
Pr 7.7539 -2.7472 8.8962
Pr 6.0740 -4.9316 11.0807
Pr 3.1446 4.9316 1.8621
Pr 10.6832 6.4714 0.3223
Pr 2.7472 8.8962 -1.4647
Pr 11.0807 3.1446 4.2870
Pr 4.9316 11.0807 -3.1446
Pr 8.8962 1.4647 6.4714
Pr 1.8621 3.1446 4.9316
Pr 2.7472 0.3223 7.7539
Pr 6.4714 8.8962 1.4647
Pr 7.3564 6.0740 4.2870
Pr 0.3223 7.7539 2.7472
Pr 4.2870 -1.8621 12.3631
Pr -1.8621 6.0740 4.9316
Pr 6.4714 0.3223 10.6832
Pr -1.4647 2.7472 8.8962
Pr 6.0740 4.2870 7.3564
Pr 3.1446 14.1501 -1.8621
Pr 1.4647 11.9657 0.3223
Pr 4.2870 7.3564 6.0740
Pr 0.3223 1.4647 11.9657
Pr 4.2870 11.0807 3.1446
Pr 9.5408 7.7539 6.4714
Pr 1.4647 6.4714 8.8962
Pr 3.1446 4.2870 11.0807
Pr -3.1446 4.9316 11.0807
Pr 7.7539 6.4714 9.5408
Pr -1.8621 12.3631 4.2870
Pr -2.7472 8.8962 7.7539
Pr -4.9316 11.0807 6.0740
Pr 0.3223 10.6832 6.4714
Pr -1.8621 3.1446 14.1501
Pr 6.4714 9.5408 7.7539
Ag 4.6093 2.3046 0.0000
Ag 9.2185 4.6093 -2.3046
Ag 2.3046 0.0000 4.6093
Ag 11.5232 0.0000 4.6093
Ag 0.0000 4.6093 2.3046
Ag 4.6093 -2.3046 9.2185
Ag 4.6093 11.5232 0.0000
Ag 9.2185 4.6093 6.9139
Ag -2.3046 9.2185 4.6093
Ag 6.9139 9.2185 4.6093
Ag 0.0000 4.6093 11.5232
Ag 4.6093 6.9139 9.2185
Pb 0.0000 0.0000 0.0000
Pb 4.6093 4.6093 -4.6093
Pb 4.6093 -4.6093 4.6093
Pb 9.2185 0.0000 0.0000
Pb 13.8278 2.3046 0.0000
Pb 9.2185 -4.6093 6.9139
Pb 6.9139 9.2185 -4.6093
Pb 6.9139 0.0000 4.6093
Pb 4.6093 6.9139 0.0000
Pb 9.2185 4.6093 2.3046
Pb -4.6093 4.6093 4.6093
Pb 0.0000 9.2185 0.0000
Pb 0.0000 0.0000 9.2185
Pb 4.6093 4.6093 4.6093
Pb 0.0000 4.6093 6.9139
Pb 4.6093 2.3046 9.2185
Pb 2.3046 9.2185 4.6093
Pb 2.3046 0.0000 13.8278
Pb 0.0000 13.8278 2.3046
Pb -4.6093 6.9139 9.2185
```

Output
DOS(E_F) (states/eV per atom): 1.42
E_tot (eV/atom): -4.09

***

Pr3AgPb: relaxed, PBE-GGA.

Geometry as extended XYZ:
```
20
Lattice="9.1329 0.0000 0.0000 0.0000 6.5291 0.0000 -3.1061 0.0000 10.3180" Properties=species:S:1:pos:R:3 pbc="T T T"
Pr -0.5337 0.0815 1.8083
Pr -2.0867 3.1831 6.9673
Pr 0.0221 0.0316 5.6674
Pr 1.5752 3.2329 0.5084
Pr 1.1491 4.8090 8.8161
Pr 2.7021 4.9846 3.6571
Pr 3.3247 1.5444 6.6609
Pr 4.8777 1.7201 1.5019
Pr 4.4517 3.2961 9.8097
Pr 6.0047 6.4975 4.6507
Pr 8.1135 3.3460 3.3507
Pr 6.5605 6.4476 8.5097
Ag 0.9435 3.4439 5.9142
Ag 2.4965 6.3497 0.7552
Ag 3.5303 0.1794 9.5628
Ag 5.0833 3.0852 4.4038
Pb 0.5340 1.5745 8.6385
Pb 2.0871 1.6900 3.4795
Pb 3.9397 4.8391 6.8386
Pb 5.4928 4.9545 1.6795
```

Output
DOS(E_F) (states/eV per atom): 1.22
E_tot (eV/atom): -4.49

***

Pr3Ag2Pb4: relaxed, PBE-GGA.

Geometry as extended XYZ:
```
9
Lattice="6.0057 -2.4216 0.0000 6.0057 2.4216 0.0000 -2.9543 0.0000 8.8393" Properties=species:S:1:pos:R:3 pbc="T T T"
Pr 0.0000 0.0000 0.0000
Pr 3.4545 0.0000 2.7149
Pr 5.6025 0.0000 6.1243
Ag 1.8074 0.0000 5.4327
Ag 7.2496 0.0000 3.4065
Pb -0.3331 0.0000 3.3249
Pb 0.8931 0.0000 8.1928
Pb 8.1639 0.0000 0.6464
Pb 9.3901 0.0000 5.5144
```

Output
DOS(E_F) (states/eV per atom): 0.33
E_tot (eV/atom): -4.28

***

Pr4Ag2Pb: relaxed, PBE-GGA.

Geometry as extended XYZ:
```
7
Lattice="2.6877 1.5517 8.5296 -2.6877 1.5517 8.5296 0.0000 -3.1035 8.5296" Properties=species:S:1:pos:R:3 pbc="T T T"
Pr 0.0000 0.0000 2.9133
Pr 0.0000 0.0000 9.4210
Pr 0.0000 0.0000 16.1678
Pr 0.0000 0.0000 22.6755
Ag 0.0000 0.0000 6.2235
Ag 0.0000 0.0000 19.3652
Pb 0.0000 0.0000 12.7944
```

Output
DOS(E_F) (states/eV per atom): 1.21
E_tot (eV/atom): -4.28

***

Pr3Ag4Pb2: relaxed, PBE-GGA.

Geometry as extended XYZ:
```
9
Lattice="5.7098 -2.4299 0.0000 5.7098 2.4299 0.0000 -4.0709 0.0000 8.5235" Properties=species:S:1:pos:R:3 pbc="T T T"
Pr 0.0000 0.0000 0.0000
Pr 2.6074 0.0000 2.7477
Pr 4.7414 0.0000 5.7759
Ag -0.7875 0.0000 3.6113
Ag -0.6277 0.0000 8.1861
Ag 7.9765 0.0000 0.3374
Ag 8.1363 0.0000 4.9122
Pb 1.4094 0.0000 6.1206
Pb 5.9394 0.0000 2.4029
```

Output
DOS(E_F) (states/eV per atom): 0.64
E_tot (eV/atom): -4.04

***

Pr5Ag2Pb: relaxed, PBE-GGA.

Geometry as extended XYZ:
```
16
Lattice="-4.2483 4.2483 6.8286 4.2483 -4.2483 6.8286 4.2483 4.2483 -6.8286" Properties=species:S:1:pos:R:3 pbc="T T T"
Pr 0.0000 0.0000 0.0000
Pr 5.5670 1.3186 -2.0157
Pr 1.3186 2.9297 -2.0157
Pr 5.5670 1.3186 2.0157
Pr 1.3186 2.9297 2.0157
Pr 0.0000 0.0000 6.8286
Pr 2.9297 1.3186 4.8130
Pr -1.3186 2.9297 4.8130
Pr 2.9297 1.3186 8.8443
Pr -1.3186 2.9297 8.8443
Ag 3.1272 1.1211 0.0000
Ag 3.1272 -1.1211 6.8286
Ag 1.1211 5.3695 0.0000
Ag 1.1211 3.1272 6.8286
Pb 0.0000 0.0000 3.4143
Pb 0.0000 0.0000 10.2430
```

Output
DOS(E_F) (states/eV per atom): 1.37
E_tot (eV/atom): -4.43

***

Pr12Ag6Pb: relaxed, PBE-GGA.

Geometry as extended XYZ:
```
19
Lattice="7.5432 4.3551 2.7771 -7.5432 4.3551 2.7771 0.0000 -8.7101 2.7771" Properties=species:S:1:pos:R:3 pbc="T T T"
Pr -4.7192 2.1706 2.8475
Pr 0.4798 -5.1722 2.8475
Pr -2.1489 -0.0813 2.8332
Pr -4.2393 -3.0016 5.4840
Pr 1.1449 -1.8204 2.8332
Pr 1.0041 1.9017 2.8332
Pr -1.0041 -1.9017 5.4983
Pr -1.1449 1.8204 5.4983
Pr 4.2393 3.0016 2.8475
Pr 2.1489 0.0813 5.4983
Pr -0.4798 5.1722 5.4840
Pr 4.7192 -2.1706 5.4840
Ag -2.2318 -3.3038 2.6994
Ag -1.7453 3.5847 2.6994
Ag -3.9771 0.2809 5.6320
Ag 3.9771 -0.2809 2.6994
Ag 1.7453 -3.5847 5.6320
Ag 2.2318 3.3038 5.6320
Pb 0.0000 0.0000 0.0000
```

Output
DOS(E_F) (states/eV per atom): 0.97
E_tot (eV/atom): -4.24

***

It is found that the ΔE_f values, taken in the order of the records, are -297; 122; 133; -306; -406; -208; -354; -270; -124 meV/atom.